# 1
Below is a relaxed structure of UTlS3, with properties calculated at the PBE level.

Summary:
Energy above the most stable polymorph in this dataset = 0 meV/atom

Cell lengths 5.1870, 5.1870, 5.1870 Å; angles 90.00, 90.00, 90.00 degrees
Closest atoms and distances in Å follow each position.
Space group Pm-3m (No. 221)
Inequivalent atoms, fractional coordinates:
U  0.0000  0.0000  0.0000 (multiplicity 1)  6 S 2.59
Tl  0.5000  0.5000  0.5000 (multiplicity 1)  12 S 3.67
S  0.0000  0.0000  0.5000 (multiplicity 3)  2 U 2.59



# 2
Below is a relaxed structure of Ag2Cl, with properties calculated at the PBE level.

Summary:
Energy above the most stable polymorph in this dataset = 354 meV/atom

Cell lengths 6.3882, 6.3882, 6.2490 Å; angles 90.00, 90.00, 90.00 degrees
Closest atoms and distances in Å follow each position.
Space group I4/mcm (No. 140)
Inequivalent atoms, fractional coordinates:
Ag  0.1510  0.3490  0.0000 (multiplicity 8)  1 Ag 2.73, 4 Cl 2.89
Cl  0.0000  0.0000  0.2500 (multiplicity 4)  8 Ag 2.89, 2 Cl 3.12



# 3
Below is a relaxed structure of P2C, with properties calculated at the PBE level.

Summary:
Energy of formation from the pure elements = 1.14 eV per atom
Energy above the most stable polymorph in this dataset = 714 meV/atom

Cell lengths 2.6984, 24.7132, 2.7252 Å; angles 90.00, 90.00, 90.00 degrees
Closest atoms and distances in Å follow each position.
Space group Cmcm (No. 63)
Inequivalent atoms, fractional coordinates:
P  0.0000  0.0688  0.2500 (multiplicity 4)  4 C 1.92
P  0.0000  0.2243  0.7500 (multiplicity 4)  4 P 2.30
C  0.0000  0.4306  0.2500 (multiplicity 4)  4 P 1.92



# 4
Below is a relaxed structure of NaAcTc, with properties calculated at the PBE level.

Summary:
Energy of formation from the pure elements = 0.61 eV per atom
Energy above the most stable polymorph in this dataset = 568 meV/atom

Cell lengths 7.6620, 4.4325, 10.2102 Å; angles 90.00, 104.53, 90.00 degrees
Closest atoms and distances in Å follow each position.
Space group C2/m (No. 12)
Inequivalent atoms, fractional coordinates:
Na  0.0486  0.0000  0.1460 (multiplicity 4)  6 Tc 2.85-3.03, 1 Na 2.89
Ac  0.2203  0.0000  0.6590 (multiplicity 4)  3 Na 3.20, 1 Tc 3.55
Tc  0.1605  0.5000  0.9819 (multiplicity 4)  3 Tc 2.58, 3 Na 2.85



| no. | total energy (eV per atom) |
| --- | --- |
| 1 | -6.18 |
| 2 | -2.38 |
| 3 | -5.54 |
| 4 | -4.66 |